Entry 1:
This record from the Alexandria database describes CaPmEr2 after structural relaxation. The functional is GGA-PBE.

Unit cell a=5.1591 b=5.0832 c=5.0832 alpha=90.00 beta=90.00 gamma=90.00
With the nearest neighbours (Å) after each atom.
Positions (direct):
Er 0.0000 0.0000 0.5000  4 Er 3.59, 4 Ca 3.62, 4 Pm 3.62
Er 0.0000 0.5000 0.0000  4 Er 3.59, 4 Ca 3.62, 4 Pm 3.62
Ca 0.5000 0.0000 0.0000  4 Pm 3.59, 8 Er 3.62
Pm 0.5000 0.5000 0.5000  4 Ca 3.59, 8 Er 3.62

Output
Energy relative to the elements   0.13 eV per atom
Crystal system   tetragonal

Entry 2:
This record from the Alexandria database describes CaPm7Er3 after structural relaxation. The functional is GGA-PBE.

Unit cell a=8.7089 b=7.1995 c=7.1995 alpha=120.00 beta=90.00 gamma=90.00
With the nearest neighbours (Å) after each atom.
Positions (direct):
Pm 0.1062 0.1646 0.8354  2 Er 3.48, 8 Pm 3.55-3.68, 1 Ca 3.63
Pm 0.1062 0.1646 0.3291  2 Er 3.48, 8 Pm 3.55-3.68, 1 Ca 3.63
Pm 0.1062 0.6709 0.8354  2 Er 3.48, 8 Pm 3.55-3.68, 1 Ca 3.63
Pm 0.1240 0.6667 0.3333  9 Pm 3.54-3.60, 3 Er 3.57
Er 0.7877 0.5024 0.0048  5 Pm 3.48-3.57, 4 Er 3.55-3.65, 1 Ca 3.65
Ca 0.4458 0.3333 0.6667  9 Pm 3.60-3.63, 3 Er 3.65
Pm 0.4545 0.8314 0.1686  7 Pm 3.54-3.68, 2 Er 3.55, 2 Ca 3.60
Er 0.7877 0.9952 0.4976  5 Pm 3.48-3.57, 4 Er 3.55-3.65, 1 Ca 3.65
Pm 0.4545 0.3373 0.1686  7 Pm 3.54-3.68, 2 Er 3.55, 2 Ca 3.60
Er 0.7877 0.5024 0.4976  5 Pm 3.48-3.57, 4 Er 3.55-3.65, 1 Ca 3.65
Pm 0.4545 0.8314 0.6627  7 Pm 3.54-3.68, 2 Er 3.55, 2 Ca 3.60

Output
Energy relative to the elements   0.22 eV per atom
Crystal system   trigonal

Entry 3:
This record from the Alexandria database describes CaPm5Er4 after structural relaxation. The functional is GGA-PBE.

Unit cell a=3.6080 b=3.6080 c=25.5950 alpha=90.00 beta=90.00 gamma=90.00
With the nearest neighbours (Å) after each atom.
Positions (direct):
Pm 0.5000 0.5000 0.5000  8 Er 3.57, 4 Pm 3.61
Er 0.0000 0.0000 0.7941  8 Pm 3.53-3.60, 4 Er 3.61
Pm 0.5000 0.5000 0.8895  4 Er 3.53, 4 Pm 3.61, 4 Ca 3.81
Pm 0.5000 0.5000 0.6949  8 Er 3.56-3.60, 4 Pm 3.61
Ca 0.0000 0.0000 0.0000  4 Ca 3.61, 8 Pm 3.81
Er 0.0000 0.0000 0.4023  8 Pm 3.56-3.57, 4 Er 3.61
Er 0.0000 0.0000 0.2059  8 Pm 3.53-3.60, 4 Er 3.61
Pm 0.5000 0.5000 0.1105  4 Er 3.53, 4 Pm 3.61, 4 Ca 3.81
Pm 0.5000 0.5000 0.3051  8 Er 3.56-3.60, 4 Pm 3.61
Er 0.0000 0.0000 0.5977  8 Pm 3.56-3.57, 4 Er 3.61

Output
Energy relative to the elements   0.03 eV per atom
Crystal system   tetragonal

Entry 4:
This record from the Alexandria database describes CaPm12Er3 after structural relaxation. The functional is GGA-PBE.

Unit cell a=5.1401 b=5.1401 c=20.5292 alpha=90.00 beta=90.00 gamma=90.00
With the nearest neighbours (Å) after each atom.
Positions (direct):
Er 0.0000 0.0000 0.7481  12 Pm 3.58-3.63
Pm 0.5000 0.5000 0.5000  8 Pm 3.61, 4 Er 3.63
Pm 0.0000 0.5000 0.1303  8 Pm 3.58-3.71, 2 Er 3.58, 2 Ca 3.71
Pm 0.0000 0.5000 0.6235  4 Er 3.61-3.63, 8 Pm 3.61-3.63
Pm 0.5000 0.5000 0.0000  4 Ca 3.63, 8 Pm 3.71
Pm 0.5000 0.0000 0.1303  8 Pm 3.58-3.71, 2 Er 3.58, 2 Ca 3.71
Ca 0.0000 0.0000 0.0000  12 Pm 3.63-3.71
Pm 0.0000 0.5000 0.8697  8 Pm 3.58-3.71, 2 Er 3.58, 2 Ca 3.71
Pm 0.5000 0.5000 0.7484  8 Pm 3.58-3.63, 4 Er 3.63
Pm 0.5000 0.0000 0.3765  4 Er 3.61-3.63, 8 Pm 3.61-3.63
Pm 0.5000 0.0000 0.6235  4 Er 3.61-3.63, 8 Pm 3.61-3.63
Pm 0.5000 0.0000 0.8697  8 Pm 3.58-3.71, 2 Er 3.58, 2 Ca 3.71
Er 0.0000 0.0000 0.5000  12 Pm 3.61-3.63
Pm 0.0000 0.5000 0.3765  4 Er 3.61-3.63, 8 Pm 3.61-3.63
Er 0.0000 0.0000 0.2519  12 Pm 3.58-3.63
Pm 0.5000 0.5000 0.2516  8 Pm 3.58-3.63, 4 Er 3.63

Output
Energy relative to the elements   0.03 eV per atom
Crystal system   tetragonal

Entry 5:
This record from the Alexandria database describes CaPm8Er3 after structural relaxation. The functional is GGA-PBE.

Unit cell a=5.1288 b=11.4880 c=9.5927 alpha=53.33 beta=74.50 gamma=63.49
With the nearest neighbours (Å) after each atom.
Positions (direct):
Ca 0.8740 0.8728 0.5005  9 Pm 3.65-3.70, 3 Er 3.68-3.69
Er 0.1160 0.1322 0.4983  1 Er 3.56, 9 Pm 3.56-3.77, 2 Ca 3.69
Pm 0.3764 0.6994 0.8430  5 Pm 3.51-3.73, 5 Er 3.56-3.77, 2 Ca 3.68
Pm 0.6335 0.6133 0.5007  7 Pm 3.57-3.77, 3 Er 3.60-3.65, 2 Ca 3.70
Pm 0.8741 0.2061 0.8342  9 Pm 3.57-3.65, 3 Er 3.58-3.61
Pm 0.3724 0.0460 0.1573  2 Er 3.53-3.72, 8 Pm 3.57-3.77, 2 Ca 3.68
Pm 0.6234 0.9555 0.8365  8 Pm 3.57-3.65, 3 Er 3.63-3.65, 1 Ca 3.65
Er 0.1265 0.4514 0.8385  10 Pm 3.53-3.66, 1 Er 3.58, 1 Ca 3.68
Pm 0.1296 0.7863 0.1625  9 Pm 3.53-3.68, 2 Er 3.61, 1 Ca 3.69
Pm 0.3754 0.3728 0.4982  5 Er 3.56-3.66, 7 Pm 3.57-3.65
Pm 0.6200 0.2958 0.1627  5 Pm 3.51-3.65, 6 Er 3.58-3.64, 1 Ca 3.69
Er 0.8769 0.5382 0.1642  2 Er 3.56-3.58, 10 Pm 3.56-3.63

Output
Energy relative to the elements   0.04 eV per atom
Crystal system   monoclinic

Entry 6:
This record from the Alexandria database describes CaPm12Er6 after structural relaxation. The functional is GGA-PBE.

Unit cell a=9.8450 b=9.8450 c=9.8450 alpha=112.03 beta=112.03 gamma=112.03
With the nearest neighbours (Å) after each atom.
Positions (direct):
Er 0.2822 0.5522 0.2822  2 Er 3.35, 5 Pm 3.42-3.68
Er 0.5522 0.2822 0.2822  2 Er 3.35, 5 Pm 3.42-3.68
Er 0.7178 0.7178 0.4478  2 Er 3.35, 5 Pm 3.42-3.68
Pm 0.7181 0.7181 0.0744  2 Pm 3.17, 2 Er 3.52
Er 0.7178 0.4478 0.7178  2 Er 3.35, 5 Pm 3.42-3.68
Pm 0.7181 0.0744 0.7181  2 Pm 3.17, 2 Er 3.52
Pm 0.5000 0.8788 0.1212  4 Pm 3.12-3.17, 2 Er 3.42
Pm 0.9256 0.2819 0.2819  2 Pm 3.17, 2 Er 3.52
Pm 0.8788 0.1212 0.5000  4 Pm 3.12-3.17, 2 Er 3.42
Pm 0.1212 0.8788 0.5000  4 Pm 3.12-3.17, 2 Er 3.42
Pm 0.0744 0.7181 0.7181  2 Pm 3.17, 2 Er 3.52
Er 0.4478 0.7178 0.7178  2 Er 3.35, 5 Pm 3.42-3.68
Ca 0.0000 0.0000 0.0000  6 Pm 3.63, 6 Er 4.07
Pm 0.2819 0.9256 0.2819  2 Pm 3.17, 2 Er 3.52
Pm 0.5000 0.1212 0.8788  4 Pm 3.12-3.17, 2 Er 3.42
Er 0.2822 0.2822 0.5522  2 Er 3.35, 5 Pm 3.42-3.68
Pm 0.2819 0.2819 0.9256  2 Pm 3.17, 2 Er 3.52
Pm 0.8788 0.5000 0.1212  4 Pm 3.12-3.17, 2 Er 3.42
Pm 0.1212 0.5000 0.8788  4 Pm 3.12-3.17, 2 Er 3.42

Output
Energy relative to the elements   0.33 eV per atom
Crystal system   trigonal

Entry 7:
This record from the Alexandria database describes CaPm2Pr6Er after structural relaxation. The functional is GGA-PBE.

Unit cell a=9.8534 b=9.1357 c=9.1357 alpha=117.91 beta=93.31 gamma=93.31
With the nearest neighbours (Å) after each atom.
Positions (direct):
Pr 0.8827 0.2904 0.5010  3 Pm 3.33-3.54, 4 Pr 3.36-3.65, 2 Er 3.52-3.65
Pm 0.5452 0.1988 0.3068  6 Pr 3.33-3.69, 2 Ca 3.52-3.58, 1 Er 3.69
Pm 0.4548 0.8012 0.6932  6 Pr 3.33-3.69, 2 Ca 3.52-3.58, 1 Er 3.69
Ca 0.7500 0.0253 0.9747  4 Pm 3.52-3.58, 4 Pr 3.76-3.87
Pr 0.3149 0.9857 0.4402  4 Pr 3.36-3.72, 2 Pm 3.53-3.69, 1 Er 3.56
Er 0.7500 0.5907 0.4093  6 Pr 3.52-3.65, 2 Pm 3.69
Pr 0.1173 0.7096 0.4990  3 Pm 3.33-3.54, 4 Pr 3.36-3.65, 2 Er 3.52-3.65
Pr 0.9453 0.8704 0.2470  7 Pr 3.55-3.88, 1 Pm 3.62, 1 Ca 3.87, 1 Er 3.97
Pr 0.5547 0.7530 0.1296  7 Pr 3.55-3.88, 1 Pm 3.62, 1 Ca 3.87, 1 Er 3.97
Pr 0.3827 0.5010 0.2904  3 Pm 3.33-3.54, 4 Pr 3.36-3.65, 2 Er 3.52-3.65
Pr 0.8149 0.4402 0.9857  4 Pr 3.36-3.72, 2 Pm 3.53-3.69, 1 Er 3.56
Pr 0.6851 0.0143 0.5598  4 Pr 3.36-3.72, 2 Pm 3.53-3.69, 1 Er 3.56
Ca 0.2500 0.9747 0.0253  4 Pm 3.52-3.58, 4 Pr 3.76-3.87
Pr 0.0547 0.1296 0.7530  7 Pr 3.55-3.88, 1 Pm 3.62, 1 Ca 3.87, 1 Er 3.97
Er 0.2500 0.4093 0.5907  6 Pr 3.52-3.65, 2 Pm 3.69
Pm 0.9548 0.6932 0.8012  6 Pr 3.33-3.69, 2 Ca 3.52-3.58, 1 Er 3.69
Pr 0.4453 0.2470 0.8704  7 Pr 3.55-3.88, 1 Pm 3.62, 1 Ca 3.87, 1 Er 3.97
Pr 0.1851 0.5598 0.0143  4 Pr 3.36-3.72, 2 Pm 3.53-3.69, 1 Er 3.56
Pr 0.6173 0.4990 0.7096  3 Pm 3.33-3.54, 4 Pr 3.36-3.65, 2 Er 3.52-3.65
Pm 0.0452 0.3068 0.1988  6 Pr 3.33-3.69, 2 Ca 3.52-3.58, 1 Er 3.69

Output
Energy relative to the elements   0.11 eV per atom
Crystal system   monoclinic

Entry 8:
This record from the Alexandria database describes CaPm4ErS8 after structural relaxation. The functional is GGA-PBE.

Unit cell a=8.2624 b=8.2624 c=8.2114 alpha=59.79 beta=59.79 gamma=60.00
With the nearest neighbours (Å) after each atom.
Positions (direct):
S 0.7642 0.2222 0.2493  3 Pm 2.71-2.86, 1 Er 2.77
S 0.2222 0.7642 0.2493  3 Pm 2.71-2.86, 1 Er 2.77
S 0.2415 0.2415 0.2756  1 Ca 2.69, 3 Pm 2.79
Pm 0.6243 0.6243 0.1272  4 S 2.68-2.71
S 0.7788 0.2356 0.7500  1 Er 2.72, 1 Ca 2.72, 2 Pm 2.81
Pm 0.4946 0.0019 0.5016  6 S 2.79-2.86
Er 0.0021 0.0021 0.9936  6 S 2.72-2.77
S 0.2356 0.7788 0.7500  1 Er 2.72, 1 Ca 2.72, 2 Pm 2.81
Pm 0.0019 0.4946 0.5016  6 S 2.79-2.86
Pm 0.0019 0.0019 0.5016  6 S 2.79-2.86
Ca 0.3755 0.3755 0.8736  4 S 2.69-2.72
S 0.2356 0.2356 0.7500  1 Er 2.72, 1 Ca 2.72, 2 Pm 2.81
S 0.7642 0.7642 0.2493  3 Pm 2.71-2.86, 1 Er 2.77
S 0.7577 0.7577 0.7269  4 Pm 2.68-2.85

Output
E_form (uncorrected)   -1.983 eV/atom
Crystal system   trigonal